a) Computed, not measured: ZrTaRe after structural relaxation at the PBE level of DFT.

Properties
The value obtained for the theoretical density is 14.0 g/cm3. The calculation puts the density of states at the Fermi level at 2.29 states/eV/f.u. The spin magnetization comes out at 0.00 μB/cell.

a = 4.5667 Å, b = 4.5667 Å, c = 3.0002 Å
α = 90.00°, β = 90.00°, γ = 120.00°
Closest atoms and distances in Å follow each position.
Positions (direct):
Zr1 0.0000 0.0000 0.0000  3 Re 2.81, 3 Ta 2.87, 2 Zr 3.00
Ta1 0.6667 0.3333 0.6210  3 Re 2.78, 3 Zr 2.87, 2 Ta 3.00
Re1 0.3333 0.6667 0.3286  3 Ta 2.78, 3 Zr 2.81, 2 Re 3.00


b) Computed, not measured: ZrTaRe after structural relaxation at the PBE level of DFT.

Properties
The value obtained for the theoretical density is 13.4 g/cm3. The calculation puts the density of states at the Fermi level at 1.94 states/eV/f.u. The spin magnetization comes out at 0.00 μB/cell.

a = 8.8466 Å, b = 5.4251 Å, c = 5.4251 Å
α = 60.98°, β = 90.00°, γ = 90.00°
Closest atoms and distances in Å follow each position.
Positions (direct):
Zr1 0.1812 0.0000 0.0000  5 Ta 3.14-3.22, 7 Re 3.15-3.23, 4 Zr 3.21-3.34
Zr2 0.3033 0.6660 0.6660  5 Re 3.07-3.26, 7 Ta 3.18-3.25, 3 Zr 3.30-3.34
Zr3 0.6967 0.6660 0.6660  5 Re 3.07-3.26, 7 Ta 3.18-3.25, 3 Zr 3.30-3.34
Zr4 0.8188 0.0000 0.0000  5 Ta 3.14-3.22, 7 Re 3.15-3.23, 4 Zr 3.21-3.34
Ta1 0.2412 0.3305 0.3305  4 Re 2.68-2.75, 2 Ta 2.81
Ta2 0.5000 0.1668 0.6752  2 Re 2.67-2.75, 4 Ta 2.71-2.81
Ta3 0.5000 0.6752 0.1668  2 Re 2.67-2.75, 4 Ta 2.71-2.81
Ta4 0.7588 0.3305 0.3305  4 Re 2.68-2.75, 2 Ta 2.81
Re1 0.0000 0.5061 0.5061  4 Re 2.62-2.80, 2 Ta 2.69
Re2 0.0000 0.5057 0.9894  4 Re 2.62-2.84, 2 Ta 2.68
Re3 0.0000 0.9894 0.5057  4 Re 2.62-2.84, 2 Ta 2.68
Re4 0.5000 0.1675 0.1675  6 Ta 2.67-2.75


Name the least stable of them. a).